# YBeCo2Hg

A relaxed YBeCo2Hg crystal (PBE, Alexandria).

The formation energy comes out at 0.17 eV/atom. As for the total magnetization: 0.621 Bohr magnetons per cell.

The space group is P4/mmm (No. 123) and the conventional cell measures 4.256, 4.256 and 4.383 Å, with angles of 90.00, 90.00 and 90.00 degrees. The distinct sites, in fractional coordinates, are Y at (0.000, 0.000, 0.000), Be at (0.500, 0.500, 0.500), Co at (0.000, 0.500, 0.500) and Hg at (0.500, 0.500, 0.000).

=====

# NbCuAu2

A relaxed NbCuAu2 crystal (PBE, Alexandria).

The value obtained for the offset from the most stable computed form is 0 meV/atom. The formation energy comes out at -0.08 eV/atom. As for the total magnetization: 0.000 Bohr magnetons per cell.

The space group is P4/mmm (No. 123) and the conventional cell measures 2.905, 2.905 and 7.807 Å, with angles of 90.00, 90.00 and 90.00 degrees. The distinct sites, in fractional coordinates, are Nb at (0.000, 0.000, 0.000), Cu at (0.000, 0.000, 0.500) and Au at (0.500, 0.500, 0.267).

=====

# Sc4CoAg

A relaxed Sc4CoAg crystal (PBE, Alexandria).

The value obtained for the offset from the most stable computed form is 814 meV/atom. The formation energy comes out at 0.54 eV/atom. As for the total magnetization: 7.218 Bohr magnetons per cell.

The space group is F-43m (No. 216) and the conventional cell measures 7.914, 7.914 and 7.914 Å, with angles of 90.00, 90.00 and 90.00 degrees. The distinct sites, in fractional coordinates, are Sc at (0.124, 0.124, 0.376), Co at (0.250, 0.250, 0.750) and Ag at (0.000, 0.000, 0.000).

=====

# MnTeRuN2

A relaxed MnTeRuN2 crystal (PBE, Alexandria).

The value obtained for the offset from the most stable computed form is 0 meV/atom. The formation energy without anion corrections is 3.993 eV per formula unit. As for the total magnetization: 5.107 Bohr magnetons per cell.

The space group is P4/mmm (No. 123) and the conventional cell measures 3.849, 3.849 and 5.733 Å, with angles of 90.00, 90.00 and 90.00 degrees. The distinct sites, in fractional coordinates, are Mn at (0.000, 0.000, 0.000), Te at (0.500, 0.500, 0.000), Ru at (0.500, 0.500, 0.500) and N at (0.000, 0.500, 0.500).

=====

no.,raw total energy (eV/atom)
1,-4.774
2,-5.255
3,-5.339
4,-6.849